Record 1
Na3CaMn | GGA-PBEsol | optimized geometry

Unit cell a=6.183 b=6.183 c=6.183 alpha=90.00 beta=90.00 gamma=90.00
Element x y z (fractional)
Na: 0.000 0.000 0.500
Na: 0.000 0.500 0.000
Na: 0.500 0.000 0.000
Ca: 0.000 0.000 0.000
Mn: 0.500 0.500 0.500

Output
- Energy of formation from the pure elements: 1.23 eV per atom

Record 2
Pr2Sn5 | GGA-PBEsol | optimized geometry

Unit cell a=17.610 b=17.610 c=4.626 alpha=90.00 beta=90.00 gamma=165.06
Element x y z (fractional)
Pr: 0.070 0.930 0.000
Pr: 0.204 0.796 0.000
Pr: 0.796 0.204 0.000
Pr: 0.930 0.070 0.000
Sn: 0.000 0.000 0.500
Sn: 0.139 0.861 0.500
Sn: 0.279 0.721 0.500
Sn: 0.361 0.639 0.000
Sn: 0.429 0.571 0.500
Sn: 0.500 0.500 0.000
Sn: 0.571 0.429 0.500
Sn: 0.639 0.361 0.000
Sn: 0.721 0.279 0.500
Sn: 0.861 0.139 0.500

Output
- Energy of formation from the pure elements: -0.64 eV per atom

Record 3
ZnCoAs2 | GGA-PBEsol | optimized geometry

Unit cell a=9.079 b=9.079 c=9.079 alpha=17.96 beta=17.96 gamma=17.96
Element x y z (fractional)
Zn: 0.000 0.000 0.000
Co: 0.738 0.738 0.738
As: 0.248 0.248 0.248
As: 0.468 0.468 0.468

Output
- Energy of formation from the pure elements: 0.11 eV per atom